Crystalline K2DyVO4 at its relaxed geometry. Source: the Alexandria database, functional GGA+U.

abc: 6.129 6.129 7.410
angles: 90.00 90.00 90.00
Space group I-4 (No. 82)
Symmetry-distinct sites (fractional):
K1 0.000 0.000 0.000
K2 0.000 0.500 0.250
Dy1 0.000 0.500 0.750
V1 0.000 0.000 0.500
O1 0.146 0.258 0.574

Calculated values
magnetic moment = 0.0 μB per formula unit
total energy = -101.91 eV/cell